First-principles (GGA-PBE) data for a relaxed structure of KCoAsPd, as listed in Alexandria.

Computed properties:
DFT total energy = -4.71 eV/atom
crystal system = tetragonal
E_form = -0.197 eV/atom
calculated density = 5.3 g/cm³

POSCAR file:
```
KCoAsPd
1.0
3.752 0.000 0.000
0.000 3.752 0.000
0.000 0.000 12.473
K Co As Pd
2 2 2 2
Direct
0.750 0.750 0.280
0.250 0.250 0.720
0.750 0.250 0.000
0.250 0.750 0.000
0.750 0.750 0.892
0.250 0.250 0.108
0.250 0.750 0.500
0.750 0.250 0.500
```